Na3Al (PBE-GGA, relaxed); total magnetic moment = 0.00 Bohr magnetons per cell; D(E_F) = 1.85 states/eV/cell; calculated formation energy = 0.1896 eV/atom; raw total energy = -6.94 eV per cell
1.0
4.865 0.000 0.000
0.000 4.865 0.000
0.000 0.000 4.865
Na Al
3 1
direct
0.000 0.000 0.500 Na
0.000 0.500 0.000 Na
0.500 0.000 0.000 Na
0.500 0.500 0.500 Al

=====

SmSiHRh2 (PBE-GGA, relaxed); total magnetic moment = 0.00 Bohr magnetons per cell; D(E_F) = 6.14 states/eV/cell; raw total energy = -64.89 eV per cell
1.0
1.887 -5.423 0.000
1.887 5.423 0.000
0.000 0.000 7.179
Sm Si H Rh
2 2 2 4
direct
0.056 0.944 0.750 Sm
0.944 0.056 0.250 Sm
0.223 0.777 0.250 Si
0.777 0.223 0.750 Si
0.500 0.500 0.000 H
0.500 0.500 0.500 H
0.341 0.659 0.554 Rh
0.341 0.659 0.946 Rh
0.659 0.341 0.054 Rh
0.659 0.341 0.446 Rh

=====

GaNiIr2 (PBE-GGA, relaxed); total magnetic moment = 0.00 Bohr magnetons per cell; D(E_F) = 12.22 states/eV/cell; calculated formation energy = 0.2629 eV/atom; raw total energy = -50.96 eV per cell
1.0
-1.885 1.885 8.611
1.885 -1.885 8.611
1.885 1.885 -8.611
Ga Ni Ir
2 2 4
direct
0.000 0.000 0.000 Ga
0.750 0.250 0.500 Ga
0.250 0.750 0.500 Ni
0.500 0.500 0.000 Ni
0.147 0.625 0.022 Ir
0.375 0.397 0.522 Ir
0.603 0.125 0.978 Ir
0.875 0.853 0.478 Ir

=====

Number 1: ρ 1384 kg/m3. Number 2: ρ 8710 kg/m3. Number 3: ρ 13914 kg/m3.